First-principles (GGA-PBE) data for a geometry-optimized TlCr2Cl structure, as listed in the Alexandria database.

Geometry as CIF:
```
data_TlCr2Cl
_space_group_name_H-M_alt 'C 1 2/m 1'
_space_group_IT_number 12
_space_group_name_Hall '-C 2y'
_cell_length_a 9.370
_cell_length_b 3.217
_cell_length_c 7.869
_cell_angle_alpha 90.00
_cell_angle_beta 124.63
_cell_angle_gamma 90.00
loop_
_atom_site_label
_atom_site_type_symbol
_atom_site_fract_x
_atom_site_fract_y
_atom_site_fract_z
_atom_site_occupancy
Tl1 Tl 0.000 0.000 0.000 1
Cr1 Cr 0.132 0.500 0.808 1
Cl1 Cl 0.000 0.000 0.500 1
```

Summary:
Formation energy (no corrections): 0.353 eV per atom
Density of states at the Fermi level: 4.2 states/eV per cell